Entry from Alexandria: a relaxed structure of Bi2Pd2Pb (PBE).

## Properties
Energy relative to the elements (eV/atom): -0.068
Space group: No. 127
Final energy (eV per atom): -4.439

Lattice parameters (Å, degrees): 8.5900 8.5900 3.2939 90.00 90.00 90.00
Last column: nearest neighbours and their distance in Å.
Atoms (fractional coordinates):
Bi1 0.6428 0.1428 0.0000  6 Pd 2.99-3.03, 2 Bi 3.29, 2 Pb 3.30
Bi2 0.3572 0.8572 0.0000  6 Pd 2.99-3.03, 2 Bi 3.29, 2 Pb 3.30
Bi3 0.8572 0.6428 0.0000  6 Pd 2.99-3.03, 2 Bi 3.29, 2 Pb 3.30
Bi4 0.1428 0.3572 0.0000  6 Pd 2.99-3.03, 2 Bi 3.29, 2 Pb 3.30
Pb1 0.0000 0.0000 0.0000  2 Pb 3.29, 4 Bi 3.30, 8 Pd 3.67
Pb2 0.5000 0.5000 0.0000  2 Pb 3.29, 4 Bi 3.30, 8 Pd 3.67
Pd1 0.6482 0.8518 0.5000  6 Bi 2.99-3.03, 2 Pd 3.29
Pd2 0.3518 0.1482 0.5000  6 Bi 2.99-3.03, 2 Pd 3.29
Pd3 0.1482 0.6482 0.5000  6 Bi 2.99-3.03, 2 Pd 3.29
Pd4 0.8518 0.3518 0.5000  6 Bi 2.99-3.03, 2 Pd 3.29